1.
First-principles (PBE) data for BaZrN2F after structural relaxation, as listed in Alexandria.

Unit cell a=4.3159 b=4.3159 c=4.4140 alpha=90.00 beta=90.00 gamma=90.00
Last column: nearest neighbours and their distance in Å.
Element x y z (fractional)
Ba  0.5000  0.5000  0.5000  4 F 3.05, 8 N 3.09
N  0.0000  0.5000  0.0000  2 Zr 2.16
N  0.5000  0.0000  0.0000  2 Zr 2.16
F  0.0000  0.0000  0.5000  2 Zr 2.21
Zr  0.0000  0.0000  0.0000  4 N 2.16, 2 F 2.21

Results
**Theoretical density**: 5.565 g/cm³
**Formation energy from raw total energies**: -1.576 eV/atom
**Final energy**: -36.9 eV/cell

---

2.
First-principles (PBE) data for Ba4NaF10 after structural relaxation, as listed in Alexandria.

Unit cell a=4.4151 b=4.4151 c=17.1544 alpha=82.61 beta=82.61 gamma=60.00
Last column: nearest neighbours and their distance in Å.
Element x y z (fractional)
F  0.0438  0.0438  0.8686  1 Na 2.23
F  0.8511  0.8511  0.4466  4 Ba 2.71-2.72
F  0.7447  0.7447  0.7660  4 Ba 2.69-2.72
F  0.2553  0.2553  0.2340  4 Ba 2.69-2.72
F  0.3354  0.3354  0.9938  3 Na 2.55, 3 F 2.56
F  0.4460  0.4460  0.6620  4 Ba 2.71-2.72
F  0.1489  0.1489  0.5534  4 Ba 2.71-2.72
F  0.6646  0.6646  0.0062  3 Na 2.55, 3 F 2.56
F  0.9562  0.9562  0.1314  1 Na 2.23
F  0.5540  0.5540  0.3380  4 Ba 2.71-2.72
Ba  0.3926  0.3926  0.8221  8 F 2.67-2.91
Ba  0.2024  0.2024  0.3928  8 F 2.69-2.72
Ba  0.7976  0.7976  0.6072  8 F 2.69-2.72
Ba  0.6074  0.6074  0.1779  8 F 2.67-2.91
Na  0.0000  0.0000  0.0000  2 F 2.23

Results
**Theoretical density**: 4.420 g/cm³
**Formation energy from raw total energies**: -3.440 eV/atom
**Final energy**: -79.3 eV/cell

---

no.,N(E_F) (states/eV/cell)
1,3.43
2,23.70